The following is a GGA-PBEsol calculation of a relaxed BaSr2Li crystal, from the Alexandria database.

Lattice parameters (Å, degrees): 6.3664 6.3664 6.3664 60.00 60.00 60.00
With the nearest neighbours (Å) after each atom.
Fractional positions:
Ba (0.0000, 0.0000, 0.0000)  8 Sr 3.90
Sr (0.2500, 0.2500, 0.2500)  4 Ba 3.90, 4 Li 3.90
Sr (0.7500, 0.7500, 0.7500)  4 Li 3.90, 4 Ba 3.90
Li (0.5000, 0.5000, 0.5000)  8 Sr 3.90

Computed properties:
The calculation puts the size of the total moment at 0.00 μB per atom. The formation energy comes out at 0.11 eV/atom. The crystal system is cubic.